First-principles (PBE) data for a relaxed structure of Sc3V5H12, as listed in the Alexandria database.

Cell: 9.484 9.484 9.484 Å, 109.47 109.47 109.47°
Fractional coordinates of all 80 atoms:
Sc 0.125 0.250 0.375
Sc 0.125 0.375 0.750
Sc 0.250 0.375 0.125
Sc 0.250 0.875 0.625
Sc 0.375 0.125 0.250
Sc 0.375 0.750 0.125
Sc 0.625 0.250 0.875
Sc 0.625 0.875 0.750
Sc 0.750 0.125 0.375
Sc 0.750 0.625 0.875
Sc 0.875 0.625 0.250
Sc 0.875 0.750 0.625
V 0.000 0.000 0.000
V 0.000 0.000 0.500
V 0.000 0.500 0.000
V 0.000 0.500 0.500
V 0.125 0.750 0.875
V 0.125 0.875 0.250
V 0.250 0.125 0.875
V 0.250 0.625 0.375
V 0.375 0.250 0.625
V 0.375 0.625 0.750
V 0.500 0.000 0.000
V 0.500 0.000 0.500
V 0.500 0.500 0.000
V 0.500 0.500 0.500
V 0.625 0.375 0.250
V 0.625 0.750 0.375
V 0.750 0.375 0.625
V 0.750 0.875 0.125
V 0.875 0.125 0.750
V 0.875 0.250 0.125
H 0.049 0.213 0.132
H 0.049 0.336 0.916
H 0.081 0.713 0.664
H 0.081 0.868 0.416
H 0.084 0.632 0.419
H 0.084 0.951 0.664
H 0.132 0.049 0.213
H 0.132 0.584 0.919
H 0.164 0.213 0.581
H 0.164 0.451 0.584
H 0.213 0.132 0.049
H 0.213 0.581 0.164
H 0.287 0.336 0.919
H 0.287 0.451 0.368
H 0.336 0.916 0.049
H 0.336 0.919 0.287
H 0.368 0.287 0.451
H 0.368 0.581 0.916
H 0.416 0.081 0.868
H 0.416 0.836 0.549
H 0.419 0.084 0.632
H 0.419 0.836 0.787
H 0.451 0.368 0.287
H 0.451 0.584 0.164
H 0.549 0.416 0.836
H 0.549 0.632 0.713
H 0.581 0.164 0.213
H 0.581 0.916 0.368
H 0.584 0.164 0.451
H 0.584 0.919 0.132
H 0.632 0.419 0.084
H 0.632 0.713 0.549
H 0.664 0.081 0.713
H 0.664 0.084 0.951
H 0.713 0.549 0.632
H 0.713 0.664 0.081
H 0.787 0.419 0.836
H 0.787 0.868 0.951
H 0.836 0.549 0.416
H 0.836 0.787 0.419
H 0.868 0.416 0.081
H 0.868 0.951 0.787
H 0.916 0.049 0.336
H 0.916 0.368 0.581
H 0.919 0.132 0.584
H 0.919 0.287 0.336
H 0.951 0.664 0.084
H 0.951 0.787 0.868

Values from the calculation:
As for the total moment: 1.46 μB/f.u. The value obtained for the raw total energy is -110.864 eV per formula unit.